one) First-principles (PBE) data for crystalline Ge3SbBr at its relaxed geometry, as listed in Alexandria.

## Properties
Space group: Pm-3m (221)

The structure in extended XYZ format:
```
5
Lattice="-2.737 -4.358 -0.751 2.189 -0.568 -4.683 3.842 -2.781 2.133" Properties=species:S:1:pos:R:3 pbc="T T T"
Sb 1.647 -3.853 -1.651
Ge 1.095 -0.284 -2.342
Ge 1.921 -1.390 1.067
Ge -1.369 -2.179 -0.376
Br 0.000 0.000 0.000
```

***

two) First-principles (PBE) data for crystalline Ge3SbBr at its relaxed geometry, as listed in Alexandria.

## Properties
Space group: Pm-3m (221)

The structure in extended XYZ format:
```
5
Lattice="5.485 0.000 0.000 0.000 5.485 0.000 0.000 0.000 5.485" Properties=species:S:1:pos:R:3 pbc="T T T"
Sb 0.000 0.000 0.000
Ge 0.000 2.743 0.000
Ge 0.000 0.000 2.743
Ge 2.743 0.000 0.000
Br 2.743 2.743 2.743
```

***

Energy relative to the most stable one, in meV per atom: one) 77; two) 0